! LaTl2Sb (GGA-PBE, optimized geometry); values from VASP
&SYSTEM
  ibrav = 0, nat = 4, ntyp = 3
/
ATOMIC_SPECIES
La 138.91 La.upf
Sb 121.76 Sb.upf
Tl 204.38 Tl.upf
ATOMIC_POSITIONS angstrom
La -12.392 2.386 9.296
Sb -18.646 3.590 13.989
Tl -0.007 0.001 0.005
Tl -6.259 1.205 4.696
CELL_PARAMETERS angstrom
-9.487 2.072 4.502
-8.162 -0.433 6.910
-7.220 3.149 7.246
! DOS at the Fermi energy: 0.943 states/eV/atom
! M_tot: 0.00 μB per formula unit
! Formation energy from raw total energies: -0.161 eV per atom
! Space-group type: R3m, No. 160

=====

! La2TlSb (GGA-PBE, optimized geometry); values from VASP
&SYSTEM
  ibrav = 0, nat = 4, ntyp = 3
/
ATOMIC_SPECIES
La 138.91 La.upf
Tl 204.38 Tl.upf
Sb 121.76 Sb.upf
ATOMIC_POSITIONS angstrom
La 2.183 1.260 6.705
La 2.183 1.260 1.965
Tl 4.366 2.521 4.331
Sb 6.550 3.781 8.635
CELL_PARAMETERS angstrom
4.366 0.000 0.000
2.183 3.781 0.000
2.183 1.260 8.654
! DOS at the Fermi energy: 0.692 states/eV/atom
! M_tot: 0.00 μB per formula unit
! Formation energy from raw total energies: -0.690 eV per atom
! Space-group type: R3m, No. 160

=====

! La2TlSb (GGA-PBE, optimized geometry); values from VASP
&SYSTEM
  ibrav = 0, nat = 4, ntyp = 3
/
ATOMIC_SPECIES
La 138.91 La.upf
Sb 121.76 Sb.upf
Tl 204.38 Tl.upf
ATOMIC_POSITIONS angstrom
La 0.000 0.000 0.000
La -2.264 -2.310 -1.089
Sb -4.527 -4.620 -2.177
Tl -6.791 -6.929 -3.266
CELL_PARAMETERS angstrom
-1.346 -3.434 -4.177
-2.354 -4.930 1.095
-5.354 -0.875 -1.273
! DOS at the Fermi energy: 1.129 states/eV/atom
! M_tot: 0.00 μB per formula unit
! Formation energy from raw total energies: -0.231 eV per atom
! Space-group type: F-43m, No. 216